1.
A relaxed TmAl3Ga2 crystal. Source: the Alexandria database, functional PBE.

Summary:
SG ... No. 115
DFT formation energy ... -0.18 eV per atom
DOS at the Fermi energy ... 0.450 states/eV/atom

Cell lengths 4.197, 4.197, 6.726 Å; angles 90.00, 90.00, 90.00 degrees
Sites, in units of the cell vectors:
Tm 0.000 0.000 0.000
Al 0.000 0.500 0.321
Al 0.500 0.000 0.679
Al 0.500 0.500 0.000
Ga 0.000 0.500 0.700
Ga 0.500 0.000 0.300


2.
A relaxed Tm4Al3Ga crystal. Source: the Alexandria database, functional PBE.

Summary:
SG ... No. 25
DFT formation energy ... -0.43 eV per atom
DOS at the Fermi energy ... 0.940 states/eV/atom

Cell lengths 3.880, 4.307, 11.248 Å; angles 90.00, 90.00, 90.00 degrees
Sites, in units of the cell vectors:
Tm 0.000 0.000 0.000
Tm 0.000 0.500 0.297
Tm 0.500 0.000 0.496
Tm 0.500 0.500 0.801
Al 0.000 0.000 0.718
Al 0.000 0.500 0.577
Al 0.500 0.500 0.080
Ga 0.500 0.000 0.223


3.
A relaxed TmAl2Ga3 crystal. Source: the Alexandria database, functional PBE.

Summary:
SG ... No. 164
DFT formation energy ... -0.29 eV per atom
DOS at the Fermi energy ... 0.381 states/eV/atom

Cell lengths 4.574, 4.574, 6.154 Å; angles 90.00, 90.00, 120.00 degrees
Sites, in units of the cell vectors:
Tm 0.000 0.000 0.000
Al 0.333 0.667 0.701
Al 0.667 0.333 0.299
Ga 0.000 0.000 0.500
Ga 0.333 0.667 0.253
Ga 0.667 0.333 0.747


4.
A relaxed Tm4AlGa3 crystal. Source: the Alexandria database, functional PBE.

Summary:
SG ... No. 25
DFT formation energy ... -0.56 eV per atom
DOS at the Fermi energy ... 0.726 states/eV/atom

Cell lengths 4.002, 4.323, 10.776 Å; angles 90.00, 90.00, 90.00 degrees
Sites, in units of the cell vectors:
Tm 0.000 0.000 0.000
Tm 0.000 0.500 0.497
Tm 0.500 0.000 0.276
Tm 0.500 0.500 0.780
Al 0.500 0.000 0.565
Ga 0.000 0.000 0.719
Ga 0.000 0.500 0.216
Ga 0.500 0.500 0.060


5.
A relaxed Tm3Al3Ga2 crystal. Source: the Alexandria database, functional PBE.

Summary:
SG ... No. 12
DFT formation energy ... -0.36 eV per atom
DOS at the Fermi energy ... 0.507 states/eV/atom

Cell lengths 8.674, 8.674, 5.108 Å; angles 100.75, 100.75, 27.03 degrees
Sites, in units of the cell vectors:
Tm 0.000 0.000 0.000
Tm 0.145 0.145 0.581
Tm 0.855 0.855 0.419
Al 0.364 0.364 0.925
Al 0.500 0.500 0.500
Al 0.636 0.636 0.075
Ga 0.238 0.238 0.173
Ga 0.762 0.762 0.827


6.
A relaxed TmAlGa3 crystal. Source: the Alexandria database, functional PBE.

Summary:
SG ... No. 59
DFT formation energy ... -0.21 eV per atom
DOS at the Fermi energy ... 0.680 states/eV/atom

Cell lengths 4.803, 6.297, 6.494 Å; angles 90.00, 90.00, 90.00 degrees
Sites, in units of the cell vectors:
Tm 0.250 0.250 0.214
Tm 0.750 0.750 0.786
Al 0.250 0.750 0.459
Al 0.750 0.250 0.541
Ga 0.250 0.052 0.737
Ga 0.250 0.448 0.737
Ga 0.250 0.750 0.075
Ga 0.750 0.250 0.925
Ga 0.750 0.552 0.263
Ga 0.750 0.948 0.263


7.
A relaxed Tm3Al4Ga2 crystal. Source: the Alexandria database, functional PBE.

Summary:
SG ... No. 189
DFT formation energy ... -0.50 eV per atom
DOS at the Fermi energy ... 0.523 states/eV/atom

Cell lengths 7.052, 7.052, 4.216 Å; angles 90.00, 90.00, 120.00 degrees
Sites, in units of the cell vectors:
Tm 0.000 0.412 0.000
Tm 0.412 0.000 0.000
Tm 0.588 0.588 0.000
Al 0.000 0.000 0.000
Al 0.000 0.753 0.500
Al 0.247 0.247 0.500
Al 0.753 0.000 0.500
Ga 0.333 0.667 0.500
Ga 0.667 0.333 0.500


8.
A relaxed Tm7AlGa5 crystal. Source: the Alexandria database, functional PBE.

Summary:
SG ... No. 44
DFT formation energy ... -0.34 eV per atom
DOS at the Fermi energy ... 0.758 states/eV/atom

Cell lengths 7.722, 7.722, 7.722 Å; angles 133.60, 100.21, 97.65 degrees
Sites, in units of the cell vectors:
Tm 0.000 0.000 0.000
Tm 0.291 0.607 0.685
Tm 0.369 0.369 0.000
Tm 0.417 0.086 0.331
Tm 0.755 0.086 0.669
Tm 0.840 0.340 0.500
Tm 0.922 0.607 0.315
Al 0.679 0.679 0.000
Ga 0.089 0.084 0.471
Ga 0.089 0.618 0.006
Ga 0.340 0.840 0.500
Ga 0.612 0.084 0.994
Ga 0.612 0.618 0.529


9.
A relaxed Tm2AlGa crystal. Source: the Alexandria database, functional PBE.

Summary:
SG ... No. 11
DFT formation energy ... -0.50 eV per atom
DOS at the Fermi energy ... 0.660 states/eV/atom

Cell lengths 5.836, 4.003, 8.497 Å; angles 90.00, 107.59, 90.00 degrees
Sites, in units of the cell vectors:
Tm 0.206 0.250 0.427
Tm 0.286 0.750 0.066
Tm 0.714 0.250 0.934
Tm 0.794 0.750 0.573
Al 0.364 0.750 0.712
Al 0.636 0.250 0.288
Ga 0.134 0.250 0.790
Ga 0.866 0.750 0.210


10.
A relaxed TmAlGa crystal. Source: the Alexandria database, functional PBE.

Summary:
SG ... No. 11
DFT formation energy ... -0.52 eV per atom
DOS at the Fermi energy ... 0.615 states/eV/atom

Cell lengths 6.968, 4.176, 12.482 Å; angles 90.00, 91.96, 90.00 degrees
Sites, in units of the cell vectors:
Tm 0.021 0.250 0.122
Tm 0.151 0.250 0.417
Tm 0.470 0.750 0.796
Tm 0.530 0.250 0.204
Tm 0.849 0.750 0.583
Tm 0.979 0.750 0.878
Al 0.143 0.250 0.698
Al 0.338 0.750 0.047
Al 0.493 0.750 0.399
Al 0.507 0.250 0.601
Al 0.662 0.250 0.953
Al 0.857 0.750 0.302
Ga 0.230 0.750 0.248
Ga 0.271 0.250 0.928
Ga 0.275 0.750 0.578
Ga 0.725 0.250 0.422
Ga 0.729 0.750 0.072
Ga 0.770 0.250 0.752


11.
A relaxed TmAl2Ga crystal. Source: the Alexandria database, functional PBE.

Summary:
SG ... No. 166
DFT formation energy ... -0.21 eV per atom
DOS at the Fermi energy ... 0.409 states/eV/atom

Cell lengths 5.632, 5.632, 5.632 Å; angles 45.19, 45.19, 45.19 degrees
Sites, in units of the cell vectors:
Tm 0.000 0.000 0.000
Al 0.216 0.216 0.216
Al 0.784 0.784 0.784
Ga 0.500 0.500 0.500


12.
A relaxed TmAlGa crystal. Source: the Alexandria database, functional PBE.

Summary:
SG ... No. 12
DFT formation energy ... -0.55 eV per atom
DOS at the Fermi energy ... 0.447 states/eV/atom

Cell lengths 5.679, 5.679, 6.906 Å; angles 125.93, 125.93, 44.26 degrees
Sites, in units of the cell vectors:
Tm 0.057 0.057 0.310
Tm 0.943 0.943 0.690
Al 0.337 0.337 0.897
Al 0.663 0.663 0.103
Ga 0.338 0.338 0.297
Ga 0.662 0.662 0.703


13.
A relaxed Tm3AlGa crystal. Source: the Alexandria database, functional PBE.

Summary:
SG ... No. 15
DFT formation energy ... -0.33 eV per atom
DOS at the Fermi energy ... 0.715 states/eV/atom

Cell lengths 8.400, 8.400, 10.046 Å; angles 103.46, 103.46, 45.14 degrees
Sites, in units of the cell vectors:
Tm 0.166 0.553 0.555
Tm 0.166 0.704 0.976
Tm 0.203 0.238 0.745
Tm 0.238 0.203 0.245
Tm 0.296 0.834 0.524
Tm 0.447 0.834 0.945
Tm 0.553 0.166 0.055
Tm 0.704 0.166 0.476
Tm 0.762 0.797 0.755
Tm 0.797 0.762 0.255
Tm 0.834 0.296 0.024
Tm 0.834 0.447 0.445
Al 0.289 0.552 0.281
Al 0.448 0.711 0.219
Al 0.552 0.289 0.781
Al 0.711 0.448 0.719
Ga 0.000 0.500 0.000
Ga 0.013 0.987 0.750
Ga 0.500 0.000 0.500
Ga 0.987 0.013 0.250


14.
A relaxed TmAlGa3 crystal. Source: the Alexandria database, functional PBE.

Summary:
SG ... No. 51
DFT formation energy ... -0.04 eV per atom
DOS at the Fermi energy ... 0.687 states/eV/atom

Cell lengths 9.304, 2.998, 7.920 Å; angles 90.00, 90.00, 90.00 degrees
Sites, in units of the cell vectors:
Tm 0.250 0.000 0.195
Tm 0.750 0.000 0.805
Al 0.250 0.500 0.828
Al 0.750 0.500 0.172
Ga 0.000 0.500 0.000
Ga 0.012 0.500 0.656
Ga 0.488 0.500 0.656
Ga 0.500 0.500 0.000
Ga 0.512 0.500 0.344
Ga 0.988 0.500 0.344


15.
A relaxed Tm5AlGa2 crystal. Source: the Alexandria database, functional PBE.

Summary:
SG ... No. 63
DFT formation energy ... -0.16 eV per atom
DOS at the Fermi energy ... 0.789 states/eV/atom

Cell lengths 5.961, 5.961, 15.096 Å; angles 90.00, 90.00, 129.11 degrees
Sites, in units of the cell vectors:
Tm 0.084 0.916 0.593
Tm 0.084 0.916 0.907
Tm 0.383 0.617 0.564
Tm 0.383 0.617 0.936
Tm 0.387 0.613 0.250
Tm 0.613 0.387 0.750
Tm 0.617 0.383 0.064
Tm 0.617 0.383 0.436
Tm 0.916 0.084 0.093
Tm 0.916 0.084 0.407
Al 0.289 0.711 0.750
Al 0.711 0.289 0.250
Ga 0.223 0.777 0.097
Ga 0.223 0.777 0.403
Ga 0.777 0.223 0.597
Ga 0.777 0.223 0.903


16.
A relaxed Tm4Al5Ga6 crystal. Source: the Alexandria database, functional PBE.

Summary:
SG ... No. 36
DFT formation energy ... -0.43 eV per atom
DOS at the Fermi energy ... 0.304 states/eV/atom

Cell lengths 9.599, 9.599, 15.202 Å; angles 90.00, 90.00, 154.22 degrees
Sites, in units of the cell vectors:
Tm 0.021 0.979 0.500
Tm 0.035 0.965 0.771
Tm 0.163 0.837 0.307
Tm 0.176 0.824 0.946
Tm 0.824 0.176 0.446
Tm 0.837 0.163 0.807
Tm 0.965 0.035 0.271
Tm 0.979 0.021 0.000
Al 0.152 0.848 0.631
Al 0.304 0.696 0.623
Al 0.341 0.659 0.281
Al 0.349 0.651 0.982
Al 0.437 0.563 0.692
Al 0.563 0.437 0.192
Al 0.651 0.349 0.482
Al 0.659 0.341 0.781
Al 0.696 0.304 0.123
Al 0.848 0.152 0.131
Ga 0.109 0.891 0.116
Ga 0.225 0.775 0.485
Ga 0.234 0.766 0.769
Ga 0.429 0.571 0.415
Ga 0.431 0.569 0.134
Ga 0.443 0.557 0.861
Ga 0.557 0.443 0.361
Ga 0.569 0.431 0.634
Ga 0.571 0.429 0.915
Ga 0.766 0.234 0.269
Ga 0.775 0.225 0.985
Ga 0.891 0.109 0.616


17.
A relaxed TmAlGa crystal. Source: the Alexandria database, functional PBE.

Summary:
SG ... No. 63
DFT formation energy ... -0.38 eV per atom
DOS at the Fermi energy ... 0.405 states/eV/atom

Cell lengths 4.789, 4.789, 5.855 Å; angles 90.00, 90.00, 114.15 degrees
Sites, in units of the cell vectors:
Tm 0.158 0.842 0.750
Tm 0.842 0.158 0.250
Al 0.500 0.500 0.000
Al 0.500 0.500 0.500
Ga 0.195 0.805 0.250
Ga 0.805 0.195 0.750


18.
A relaxed Tm3Al3Ga crystal. Source: the Alexandria database, functional PBE.

Summary:
SG ... No. 12
DFT formation energy ... -0.45 eV per atom
DOS at the Fermi energy ... 0.708 states/eV/atom

Cell lengths 5.790, 5.790, 14.107 Å; angles 107.46, 107.46, 44.51 degrees
Sites, in units of the cell vectors:
Tm 0.030 0.030 0.380
Tm 0.105 0.105 0.923
Tm 0.237 0.237 0.222
Tm 0.763 0.763 0.778
Tm 0.895 0.895 0.077
Tm 0.970 0.970 0.620
Al 0.366 0.366 0.456
Al 0.391 0.391 0.925
Al 0.476 0.476 0.770
Al 0.524 0.524 0.230
Al 0.609 0.609 0.075
Al 0.634 0.634 0.544
Ga 0.259 0.259 0.616
Ga 0.741 0.741 0.384


19.
A relaxed Tm6AlGa2 crystal. Source: the Alexandria database, functional PBE.

Summary:
SG ... No. 71
DFT formation energy ... -0.40 eV per atom
DOS at the Fermi energy ... 0.539 states/eV/atom

Cell lengths 8.449, 8.449, 8.449 Å; angles 112.35, 111.72, 104.47 degrees
Sites, in units of the cell vectors:
Tm 0.027 0.822 0.205
Tm 0.243 0.546 0.303
Tm 0.243 0.940 0.697
Tm 0.273 0.319 0.592
Tm 0.273 0.681 0.955
Tm 0.383 0.178 0.205
Tm 0.617 0.822 0.795
Tm 0.727 0.319 0.045
Tm 0.727 0.681 0.408
Tm 0.757 0.060 0.303
Tm 0.757 0.454 0.697
Tm 0.973 0.178 0.795
Al 0.000 0.500 0.500
Al 0.500 0.000 0.500
Ga 0.000 0.152 0.152
Ga 0.000 0.848 0.848
Ga 0.378 0.378 0.000
Ga 0.622 0.622 0.000


20.
A relaxed Tm3AlGa3 crystal. Source: the Alexandria database, functional PBE.

Summary:
SG ... No. 12
DFT formation energy ... -0.60 eV per atom
DOS at the Fermi energy ... 0.710 states/eV/atom

Cell lengths 5.798, 5.798, 13.908 Å; angles 108.34, 108.34, 43.66 degrees
Sites, in units of the cell vectors:
Tm 0.020 0.020 0.375
Tm 0.106 0.106 0.924
Tm 0.238 0.238 0.222
Tm 0.762 0.762 0.778
Tm 0.894 0.894 0.076
Tm 0.980 0.980 0.625
Al 0.264 0.264 0.608
Al 0.736 0.736 0.392
Ga 0.370 0.370 0.454
Ga 0.387 0.387 0.925
Ga 0.476 0.476 0.772
Ga 0.524 0.524 0.228
Ga 0.613 0.613 0.075
Ga 0.630 0.630 0.546


21.
A relaxed Tm3AlGa3 crystal. Source: the Alexandria database, functional PBE.

Summary:
SG ... No. 176
DFT formation energy ... -0.41 eV per atom
DOS at the Fermi energy ... 0.480 states/eV/atom

Cell lengths 8.585, 8.585, 4.789 Å; angles 90.00, 90.00, 120.00 degrees
Sites, in units of the cell vectors:
Tm 0.099 0.441 0.250
Tm 0.342 0.901 0.250
Tm 0.441 0.342 0.750
Tm 0.559 0.658 0.250
Tm 0.658 0.099 0.750
Tm 0.901 0.559 0.750
Al 0.333 0.667 0.750
Al 0.667 0.333 0.250
Ga 0.043 0.212 0.750
Ga 0.170 0.957 0.750
Ga 0.212 0.170 0.250
Ga 0.788 0.830 0.750
Ga 0.830 0.043 0.250
Ga 0.957 0.788 0.250


Calculated total magnetic moment (μB per atom), listed in the same order as above: 0.00, 0.01, 0.00, 0.00, 0.00, 0.00, 0.00, 0.00, 0.00, 0.00, 0.00, 0.00, 0.00, 0.00, 0.00, 0.00, 0.00, 0.00, 0.00, 0.00, 0.00